(1)
A geometry-optimized Cs2V5O13 structure, computed with GGA-PBEsol.

Lattice parameters (Å, degrees): 7.777 7.981 7.777 60.84 90.00 119.16
Atoms (fractional coordinates):
O 0.589 0.748 0.411
O 0.751 0.039 0.980
V 0.777 0.000 0.223
Cs 0.752 0.504 0.748
V 0.777 0.000 0.777
V 0.646 0.293 0.354
O 0.772 0.210 0.562
O 0.159 0.748 0.411
O 0.589 0.748 0.841
O 0.438 0.210 0.562
Cs 0.252 0.504 0.248
V 0.223 0.000 0.223
O 0.772 0.210 0.228
O 0.020 0.039 0.712
O 0.288 0.039 0.980
O 0.785 0.570 0.215
O 0.159 0.748 0.841
O 0.438 0.210 0.228
V 0.223 0.000 0.777
O 0.020 0.039 0.249

Uncorrected energy in eV per formula unit: -165.505

(2)
A geometry-optimized CsVWO6 structure, computed with GGA-PBEsol.

Lattice parameters (Å, degrees): 7.006 7.142 7.142 61.11 60.63 60.63
Atoms (fractional coordinates):
O 0.699 0.051 0.551
O 0.066 0.684 0.184
O 0.934 0.306 0.446
O 0.934 0.316 0.816
O 0.066 0.054 0.194
O 0.314 0.946 0.806
O 0.686 0.054 0.194
W 0.000 0.000 0.000
O 0.066 0.694 0.554
O 0.686 0.694 0.554
Cs 0.614 0.636 0.136
W 0.000 0.500 0.500
V 0.500 0.000 0.500
O 0.314 0.306 0.446
Cs 0.386 0.364 0.864
O 0.301 0.949 0.449
O 0.934 0.946 0.806
V 0.000 0.000 0.500

Uncorrected energy in eV per formula unit: -76.160

(3)
A geometry-optimized Cs2WO4 structure, computed with GGA-PBEsol.

Lattice parameters (Å, degrees): 6.471 7.428 8.221 113.39 90.00 115.82
Atoms (fractional coordinates):
W 0.173 0.347 0.221
O 0.368 0.283 0.082
Cs 0.843 0.686 0.255
O 0.679 0.359 0.634
W 0.827 0.653 0.779
O 0.086 0.717 0.918
O 0.094 0.188 0.349
O 0.321 0.641 0.366
O 0.632 0.717 0.918
Cs 0.514 0.028 0.241
Cs 0.486 0.972 0.759
O 0.906 0.812 0.651
Cs 0.157 0.314 0.745
O 0.914 0.283 0.082

Uncorrected energy in eV per formula unit: -51.845

(4)
A geometry-optimized Cs2WO4 structure, computed with GGA-PBEsol.

Lattice parameters (Å, degrees): 6.565 8.495 11.530 90.00 90.00 90.00
Atoms (fractional coordinates):
Cs 0.750 0.330 0.577
O 0.974 0.717 0.657
O 0.750 0.990 0.569
O 0.026 0.783 0.157
Cs 0.750 0.000 0.292
O 0.474 0.283 0.343
Cs 0.250 0.500 0.792
O 0.974 0.217 0.843
O 0.250 0.307 0.561
W 0.750 0.780 0.581
O 0.526 0.217 0.843
Cs 0.250 0.000 0.708
Cs 0.250 0.670 0.423
O 0.026 0.283 0.343
O 0.250 0.807 0.939
Cs 0.750 0.500 0.208
W 0.250 0.220 0.419
O 0.750 0.490 0.931
O 0.750 0.193 0.061
Cs 0.750 0.830 0.923
Cs 0.250 0.170 0.077
O 0.750 0.693 0.439
O 0.526 0.717 0.657
W 0.750 0.280 0.919
O 0.474 0.783 0.157
W 0.250 0.720 0.081
O 0.250 0.010 0.431
O 0.250 0.510 0.069

Uncorrected energy in eV per formula unit: -51.836

(5)
A geometry-optimized Cs2ZrW3O12 structure, computed with GGA-PBEsol.

Lattice parameters (Å, degrees): 7.411 7.398 7.409 119.94 90.00 120.06
Atoms (fractional coordinates):
Cs 0.110 0.258 0.881
W 0.975 0.494 0.512
O 0.574 0.128 0.798
O 0.840 0.267 0.202
O 0.446 0.872 0.202
O 0.188 0.756 0.449
O 0.807 0.617 0.556
W 0.481 0.506 0.488
Cs 0.852 0.742 0.119
O 0.804 0.250 0.560
O 0.190 0.383 0.444
O 0.182 0.736 0.798
W 0.473 0.000 0.500
O 0.573 0.733 0.798
Zr 0.512 0.000 0.000
O 0.446 0.264 0.202
O 0.433 0.244 0.551
O 0.555 0.750 0.440

Uncorrected energy in eV per formula unit: -159.110

(6)
A geometry-optimized Cs5YO4 structure, computed with GGA-PBEsol.

Lattice parameters (Å, degrees): 7.378 11.601 12.970 90.00 90.00 100.68
Atoms (fractional coordinates):
Cs 0.832 0.154 0.178
O 0.173 0.735 0.044
Cs 0.741 0.000 0.424
O 0.827 0.265 0.956
Y 0.613 0.260 0.539
O 0.231 0.602 0.371
O 0.358 0.903 0.391
O 0.731 0.602 0.129
O 0.191 0.256 0.122
Cs 0.572 0.373 0.067
O 0.858 0.903 0.109
O 0.309 0.744 0.622
O 0.142 0.097 0.891
O 0.673 0.735 0.456
Cs 0.928 0.627 0.567
Cs 0.668 0.846 0.678
Cs 0.903 0.492 0.835
Cs 0.241 0.000 0.076
Cs 0.759 0.000 0.924
Cs 0.992 0.783 0.304
Cs 0.597 0.508 0.335
O 0.769 0.398 0.629
Cs 0.508 0.217 0.804
Y 0.887 0.740 0.039
Cs 0.403 0.492 0.665
Cs 0.008 0.217 0.696
O 0.642 0.097 0.609
Cs 0.072 0.373 0.433
O 0.269 0.398 0.871
Cs 0.168 0.846 0.822
Cs 0.259 0.000 0.576
Cs 0.097 0.508 0.165
Y 0.113 0.260 0.961
Cs 0.428 0.627 0.933
Cs 0.332 0.154 0.322
Y 0.387 0.740 0.461
O 0.691 0.256 0.378
Cs 0.492 0.783 0.196
O 0.327 0.265 0.544
O 0.809 0.744 0.878

Uncorrected energy in eV per formula unit: -49.486
Energy above the lowest structure with this stoichiometry in meV per atom: 0.0

(7)
A geometry-optimized CsY3O5 structure, computed with GGA-PBEsol.

Lattice parameters (Å, degrees): 3.462 10.361 17.292 90.00 90.00 90.00
Atoms (fractional coordinates):
O 0.250 0.475 0.580
O 0.750 0.921 0.772
O 0.750 0.724 0.888
Y 0.750 0.195 0.183
O 0.250 0.281 0.447
Y 0.750 0.849 0.988
O 0.250 0.276 0.112
O 0.250 0.781 0.053
O 0.750 0.224 0.612
Y 0.750 0.598 0.661
Y 0.250 0.151 0.012
Cs 0.750 0.038 0.372
O 0.750 0.219 0.947
Y 0.750 0.695 0.317
O 0.750 0.421 0.728
O 0.250 0.975 0.920
O 0.750 0.025 0.080
Y 0.750 0.098 0.839
O 0.750 0.820 0.216
O 0.750 0.719 0.553
O 0.250 0.579 0.272
Y 0.250 0.651 0.488
O 0.250 0.680 0.716
Cs 0.250 0.962 0.628
O 0.750 0.320 0.284
O 0.250 0.180 0.784
Y 0.250 0.402 0.339
O 0.250 0.079 0.228
Y 0.750 0.349 0.512
O 0.750 0.525 0.420
O 0.250 0.776 0.388
Cs 0.750 0.538 0.128
Y 0.250 0.305 0.683
Cs 0.250 0.462 0.872
Y 0.250 0.902 0.161
Y 0.250 0.805 0.817

Uncorrected energy in eV per formula unit: -76.522

(8)
A geometry-optimized Cs5YO4 structure, computed with GGA-PBEsol.

Lattice parameters (Å, degrees): 6.866 8.418 9.647 90.00 90.00 90.00
Atoms (fractional coordinates):
Cs 0.742 0.263 0.312
Y 0.784 0.000 0.000
O 0.953 0.000 0.189
O 0.047 0.500 0.311
Cs 0.839 0.500 0.000
O 0.620 0.782 0.000
O 0.953 0.000 0.811
Cs 0.258 0.763 0.812
O 0.380 0.282 0.500
Y 0.216 0.500 0.500
O 0.620 0.218 0.000
O 0.380 0.718 0.500
Cs 0.258 0.237 0.188
Cs 0.161 0.000 0.500
Cs 0.742 0.263 0.688
Cs 0.742 0.737 0.688
Cs 0.258 0.237 0.812
O 0.047 0.500 0.689
Cs 0.258 0.763 0.188
Cs 0.742 0.737 0.312

Uncorrected energy in eV per formula unit: -49.321
Energy above the lowest structure with this stoichiometry in meV per atom: 16.5